Record 1
This record from the Alexandria database describes a relaxed Er6NpS8 crystal. The functional is PBE-GGA.

Cell: 7.7278 7.7278 7.7278 Å, 60.00 60.00 60.00°
Last column: nearest neighbours and their distance in Å.
Atoms (fractional coordinates):
Er 0.0000 0.0000 0.5000  6 S 2.73
Er 0.0000 0.5000 0.0000  6 S 2.73
Er 0.0000 0.5000 0.5000  6 S 2.73
Er 0.5000 0.0000 0.0000  6 S 2.73
Er 0.5000 0.0000 0.5000  6 S 2.73
Er 0.5000 0.5000 0.0000  6 S 2.73
Np 0.0000 0.0000 0.0000  6 S 2.78
S 0.2500 0.2500 0.2500  6 Er 2.73
S 0.2544 0.2544 0.7456  4 Er 2.73, 1 Np 2.78
S 0.2544 0.7456 0.2544  4 Er 2.73, 1 Np 2.78
S 0.2544 0.7456 0.7456  4 Er 2.73, 1 Np 2.78
S 0.7456 0.2544 0.2544  4 Er 2.73, 1 Np 2.78
S 0.7456 0.2544 0.7456  4 Er 2.73, 1 Np 2.78
S 0.7456 0.7456 0.2544  4 Er 2.73, 1 Np 2.78
S 0.7500 0.7500 0.7500  6 Er 2.73

Properties
Formation energy without anion corrections, kJ/mol of atoms: -184
Total magnetic moment, μB/cell: 5.05

***

Record 2
This record from the Alexandria database describes a relaxed ErNp4S7 crystal. The functional is PBE-GGA.

Cell: 6.7295 6.7295 11.4164 Å, 104.13 104.13 33.27°
Last column: nearest neighbours and their distance in Å.
Atoms (fractional coordinates):
Er 0.0000 0.0000 0.0000  6 S 2.68-2.78
Np 0.1196 0.1196 0.4229  6 S 2.66-2.74
Np 0.2317 0.2317 0.8469  6 S 2.68-2.81
Np 0.4209 0.4209 0.6123  7 S 2.74-2.95
Np 0.8192 0.8192 0.2424  7 S 2.77-2.97
S 0.0767 0.0767 0.6391  4 Np 2.66-2.74
S 0.1593 0.1593 0.2041  3 Np 2.68-2.77, 1 Er 2.68
S 0.3813 0.3813 0.0737  2 Er 2.72, 3 Np 2.81-2.97
S 0.4636 0.4636 0.3737  5 Np 2.74-2.91
S 0.6106 0.6106 0.9191  2 Er 2.70, 2 Np 2.74
S 0.7755 0.7755 0.4764  5 Np 2.74-2.87
S 0.8535 0.8535 0.7742  4 Np 2.74-2.95, 1 Er 2.78

Properties
Formation energy without anion corrections, kJ/mol of atoms: -146
Total magnetic moment, μB/cell: 16.61

***

Record 3
This record from the Alexandria database describes a relaxed ErNp2S3 crystal. The functional is PBE-GGA.

Cell: 7.7987 5.5009 11.6734 Å, 90.00 90.00 90.00°
Last column: nearest neighbours and their distance in Å.
Atoms (fractional coordinates):
Er 0.1262 0.2500 0.0831  6 S 2.74-2.76
Er 0.3738 0.7500 0.5831  6 S 2.74-2.76
Er 0.6262 0.2500 0.4169  6 S 2.74-2.76
Er 0.8738 0.7500 0.9169  6 S 2.74-2.76
Np 0.1242 0.2500 0.4165  6 S 2.75-2.76
Np 0.1249 0.2500 0.7500  6 S 2.75-2.77
Np 0.3751 0.7500 0.2500  6 S 2.75-2.77
Np 0.3758 0.7500 0.9165  6 S 2.75-2.76
Np 0.6242 0.2500 0.0835  6 S 2.75-2.76
Np 0.6249 0.2500 0.7500  6 S 2.75-2.77
Np 0.8751 0.7500 0.2500  6 S 2.75-2.77
Np 0.8758 0.7500 0.5835  6 S 2.75-2.76
S 0.1235 0.7500 0.0823  3 Er 2.74-2.75, 3 Np 2.75-2.77
S 0.1244 0.7500 0.7508  4 Np 2.75, 2 Er 2.75-2.76
S 0.1255 0.7500 0.4163  1 Er 2.75, 5 Np 2.75-2.76
S 0.3745 0.2500 0.9163  1 Er 2.75, 5 Np 2.75-2.76
S 0.3756 0.2500 0.2508  4 Np 2.75, 2 Er 2.75-2.76
S 0.3765 0.2500 0.5823  3 Er 2.74-2.75, 3 Np 2.75-2.77
S 0.6235 0.7500 0.4177  3 Er 2.74-2.75, 3 Np 2.75-2.77
S 0.6244 0.7500 0.7492  4 Np 2.75, 2 Er 2.75-2.76
S 0.6255 0.7500 0.0837  1 Er 2.75, 5 Np 2.75-2.76
S 0.8745 0.2500 0.5837  1 Er 2.75, 5 Np 2.75-2.76
S 0.8756 0.2500 0.2492  4 Np 2.75, 2 Er 2.75-2.76
S 0.8765 0.2500 0.9177  3 Er 2.74-2.75, 3 Np 2.75-2.77

Properties
Formation energy without anion corrections, kJ/mol of atoms: -151
Total magnetic moment, μB/cell: 34.01

***

Record 4
This record from the Alexandria database describes a relaxed Er3Np2S8 crystal. The functional is PBE-GGA.

Cell: 8.1784 8.1784 4.5944 Å, 90.00 90.00 108.95°
Last column: nearest neighbours and their distance in Å.
Atoms (fractional coordinates):
Er 0.0000 0.0000 0.0000  8 S 2.80-2.81
Er 0.2823 0.2823 0.5000  6 S 2.67-2.85
Er 0.7177 0.7177 0.5000  6 S 2.67-2.85
Np 0.2617 0.7383 0.0000  8 S 2.74-2.97
Np 0.7383 0.2617 0.0000  8 S 2.74-2.97
S 0.1173 0.3639 0.0000  3 Er 2.81-2.85, 2 Np 2.90-2.94
S 0.1203 0.8797 0.5000  4 Er 2.80-3.12, 2 Np 2.97
S 0.3639 0.1173 0.0000  3 Er 2.81-2.85, 2 Np 2.90-2.94
S 0.3733 0.6267 0.5000  2 Er 2.67, 2 Np 2.74
S 0.6267 0.3733 0.5000  2 Er 2.67, 2 Np 2.74
S 0.6361 0.8827 0.0000  3 Er 2.81-2.85, 2 Np 2.90-2.94
S 0.8797 0.1203 0.5000  4 Er 2.80-3.12, 2 Np 2.97
S 0.8827 0.6361 0.0000  3 Er 2.81-2.85, 2 Np 2.90-2.94

Properties
Formation energy without anion corrections, kJ/mol of atoms: -152
Total magnetic moment, μB/cell: 7.01